Entry from Alexandria via LeMat-Bulk: a relaxed structure of LiMg14Ni (PBE).

The structure belongs to space group Amm2 (No. 38); the cell edges are 10.010, 6.316 and 10.753 Å and the angles 90.00°, 90.00° and 90.00°. Symmetry generates all atoms from Li at (0.000, 0.000, 0.000), Mg at (0.000, 0.249, 0.766), Mg at (0.222, 0.242, 0.573), Mg at (0.241, 0.000, 0.330), Mg at (0.253, 0.000, 0.829), Mg at (0.500, 0.000, 0.497), Mg at (0.500, 0.000, 0.999), Mg at (0.500, 0.248, 0.244) and Ni at (0.000, 0.000, 0.486).

The calculation puts the formation energy at 0.0 eV per formula unit. Its density of states at the Fermi level is 10.56 states/eV/cell. As for the crystal system: orthorhombic. For the energy relative to the lowest polymorph listed for this composition, the calculation gives 0.028 kcal/mol of atoms.